Density functional theory data (GGA-PBE) for RbAuSe after structural relaxation.

The space group is C2/m (No. 12) and the conventional cell measures 13.0670, 4.0946 and 7.3701 Å, with angles of 90.00, 101.18 and 90.00 degrees. Symmetry generates all atoms from Rb at (0.1045, 0.0000, 0.3120), Au at (0.2017, 0.0000, 0.8914) and Se at (0.1188, 0.5000, 0.7101).

For the total magnetization, the calculation gives 0.00 μB per formula unit. The calculation puts the total energy at -3.21 eV/atom. The raw formation energy is -0.63 eV per atom.

Density functional theory data (GGA-PBE) for CoH2Ru after structural relaxation.

The space group is Fm-3m (No. 225) and the conventional cell measures 5.0136, 5.0136 and 5.0136 Å, with angles of 90.00, 90.00 and 90.00 degrees. Symmetry generates all atoms from Co at (0.0000, 0.0000, 0.0000), H at (0.2500, 0.2500, 0.2500) and Ru at (0.0000, 0.0000, 0.5000).

For the total magnetization, the calculation gives 2.27 μB per formula unit. The calculation puts the total energy at -5.17 eV/atom. The energy above the most stable polymorph in this dataset comes out at 403 meV/atom.

Density functional theory data (GGA-PBE) for Pm12Pr2Sc after structural relaxation.

The space group is P4/nbm (No. 125, origin choice 2) and the conventional cell measures 6.5908, 6.5908 and 25.0483 Å, with angles of 90.00, 90.00 and 90.00 degrees. Symmetry generates all atoms from Pm at (0.0613, 0.5613, 0.1073), Pm at (0.0827, 0.5827, 0.5626), Pm at (0.2500, 0.2500, 0.2099), Pm at (0.2500, 0.2500, 0.3356), Pr at (0.2500, 0.7500, 0.2630) and Sc at (0.2500, 0.7500, 0.0000).

For the total magnetization, the calculation gives 0.00 μB per formula unit. The calculation puts the total energy at -4.53 eV/atom. As for the energy of formation from the pure elements: 0.327 eV per atom.